No. 1
GGA-PBE Ho3Zn3Pd, relaxed; total moment = 0.0 μB per formula unit; energy relative to the elements = -473 meV per atom; crystal system = orthorhombic; DOS at the Fermi energy = 5.65 states/eV/cell
1.0
-3.787 -2.342 0.470
0.107 -0.874 -3.494
6.877 -6.121 3.599
Pd Zn Ho
1 3 3
Cartesian
4.364 -6.695 1.808
-1.153 -2.662 -1.228
1.469 -2.609 -1.161
1.708 -6.697 1.727
0.057 -4.164 1.043
3.131 -9.235 0.547
3.212 -5.283 -0.439


No. 2
GGA-PBE Sr2SnS3, relaxed; electronic total energy = -4.8548 eV per atom; total moment = 0.0 μB per formula unit; crystal system = monoclinic; DOS at the Fermi energy = 0.00 states/eV/cell
1.0
-1.557 1.075 -5.731
-0.547 -8.362 -1.421
-5.241 1.667 4.914
Sn Sr S
2 4 6
Cartesian
-0.155 -2.078 -0.423
-1.948 -5.209 -6.728
-4.248 -2.015 0.777
-3.096 -3.605 -3.014
-2.822 0.576 -2.302
-4.522 -6.195 0.065
-2.048 0.038 0.563
-2.321 -4.144 -0.146
-1.258 -5.686 -4.188
-5.296 -5.657 -2.800
-0.845 -1.601 -2.963
-5.023 -1.476 -2.091


No. 3
GGA-PBE Sr3LaTl4, relaxed; total moment = 0.0 μB per formula unit; energy relative to the elements = -422 meV per atom; crystal system = tetragonal; DOS at the Fermi energy = 7.11 states/eV/cell
1.0
-3.175 -2.336 -0.918
0.813 -2.358 3.188
-9.638 9.404 9.412
Tl Sr La
4 3 1
Cartesian
-3.612 3.524 3.527
-6.026 5.879 5.885
-1.153 1.125 1.126
-8.485 8.278 8.286
-6.000 2.355 5.841
-8.428 4.724 8.212
-3.572 -0.014 3.470
-1.181 -2.347 1.135


Copy entry 3 word for word.
GGA-PBE Sr3LaTl4, relaxed; total moment = 0.0 μB per formula unit; energy relative to the elements = -422 meV per atom; crystal system = tetragonal; DOS at the Fermi energy = 7.11 states/eV/cell
1.0
-3.175 -2.336 -0.918
0.813 -2.358 3.188
-9.638 9.404 9.412
Tl Sr La
4 3 1
Cartesian
-3.612 3.524 3.527
-6.026 5.879 5.885
-1.153 1.125 1.126
-8.485 8.278 8.286
-6.000 2.355 5.841
-8.428 4.724 8.212
-3.572 -0.014 3.470
-1.181 -2.347 1.135


Question: Among the records above, which one has the highest DOS at the Fermi energy?
Answer: Sr3LaTl4


Copy entry 1 word for word.
GGA-PBE Ho3Zn3Pd, relaxed; total moment = 0.0 μB per formula unit; energy relative to the elements = -473 meV per atom; crystal system = orthorhombic; DOS at the Fermi energy = 5.65 states/eV/cell
1.0
-3.787 -2.342 0.470
0.107 -0.874 -3.494
6.877 -6.121 3.599
Pd Zn Ho
1 3 3
Cartesian
4.364 -6.695 1.808
-1.153 -2.662 -1.228
1.469 -2.609 -1.161
1.708 -6.697 1.727
0.057 -4.164 1.043
3.131 -9.235 0.547
3.212 -5.283 -0.439